Material: Pm2PrY7
Method: DFT, PBE
State: relaxed

```
Pm2PrY7
1.0
6.227 0.000 0.000
2.058 6.912 0.000
2.052 1.237 7.662
Pm Pr Y
2 1 7
Direct
0.198 0.300 0.100
0.802 0.700 0.900
0.000 0.000 0.500
0.000 0.500 0.500
0.200 0.799 0.101
0.400 0.600 0.701
0.401 0.100 0.700
0.599 0.900 0.300
0.600 0.400 0.299
0.800 0.201 0.899
```

Values from the calculation:
- Excess energy over the best structure of this formula in the dataset: 0.000 eV per formula unit
- Calculated density: 5.30 Mg/m³
- Crystal system: triclinic
- Symmetry: P-1, No. 2
- Calculated formation energy: 0.0162 eV/atom

=====

Material: PmPr3Y3
Method: DFT, PBE
State: relaxed

```
PmPr3Y3
1.0
4.748 2.741 6.291
-4.748 2.741 6.291
0.000 -5.483 6.291
Pm Pr Y
2 6 6
Direct
0.091 0.091 0.091
0.909 0.909 0.909
0.233 0.373 0.665
0.335 0.767 0.627
0.373 0.665 0.233
0.627 0.335 0.767
0.665 0.233 0.373
0.767 0.627 0.335
0.054 0.192 0.478
0.192 0.478 0.054
0.478 0.054 0.192
0.522 0.946 0.808
0.808 0.522 0.946
0.946 0.808 0.522
```

Values from the calculation:
- Excess energy over the best structure of this formula in the dataset: 0.000 eV per formula unit
- Calculated density: 5.64 Mg/m³
- Crystal system: trigonal
- Symmetry: R-3, No. 148
- Calculated formation energy: 0.1275 eV/atom

=====

Material: Pm8PrY3
Method: DFT, PBE
State: relaxed

```
Pm8PrY3
1.0
-3.303 5.732 5.806
3.303 -5.732 5.806
3.303 5.732 -5.806
Pm Pr Y
8 1 3
Direct
0.083 0.249 0.834
0.241 0.258 0.498
0.241 0.742 0.983
0.415 0.249 0.166
0.585 0.751 0.834
0.759 0.258 0.017
0.759 0.742 0.502
0.917 0.751 0.166
0.500 0.500 0.000
0.000 0.000 0.000
0.238 0.738 0.500
0.762 0.262 0.500
```

Values from the calculation:
- Calculated density: 5.92 Mg/m³
- Crystal system: orthorhombic
- Symmetry: Immm, No. 71
- Calculated formation energy: 0.3220 eV/atom

=====

Material: Pm4Pr4Y5
Method: DFT, PBE
State: relaxed

```
Pm4Pr4Y5
1.0
-6.571 6.571 2.570
6.571 -6.571 2.570
6.571 6.571 -2.570
Pm Pr Y
4 4 5
Direct
0.153 0.230 0.383
0.230 0.847 0.076
0.770 0.153 0.924
0.847 0.770 0.617
0.079 0.617 0.695
0.383 0.079 0.462
0.617 0.921 0.538
0.921 0.383 0.305
0.000 0.000 0.000
0.310 0.461 0.772
0.461 0.690 0.151
0.539 0.310 0.849
0.690 0.539 0.228
```

Values from the calculation:
- Calculated density: 5.94 Mg/m³
- Crystal system: tetragonal
- Symmetry: I4/m, No. 87
- Calculated formation energy: 0.0150 eV/atom

=====

Material: Pm3PrY7
Method: DFT, PBE
State: relaxed

```
Pm3PrY7
1.0
7.143 0.000 0.000
-3.572 6.186 0.000
0.000 0.000 8.741
Pm Pr Y
3 1 7
Direct
0.001 0.500 0.000
0.500 0.500 0.000
0.500 0.999 0.000
0.667 0.333 0.663
0.168 0.335 0.663
0.168 0.832 0.663
0.333 0.667 0.335
0.334 0.167 0.334
0.665 0.832 0.663
0.833 0.167 0.334
0.833 0.666 0.334
```

Values from the calculation:
- Excess energy over the best structure of this formula in the dataset: 0.515 eV per formula unit
- Calculated density: 5.15 Mg/m³
- Crystal system: trigonal
- Symmetry: P3m1, No. 156
- Calculated formation energy: 0.1849 eV/atom

=====

Material: PmPr2Y
Method: DFT, PBE
State: relaxed

```
PmPr2Y
1.0
3.666 0.000 0.000
0.000 3.666 0.000
0.000 0.000 10.360
Pm Pr Y
1 2 1
Direct
0.000 0.000 0.000
0.500 0.500 0.252
0.500 0.500 0.748
0.000 0.000 0.500
```

Values from the calculation:
- Excess energy over the best structure of this formula in the dataset: 0.026 eV per formula unit
- Calculated density: 6.15 Mg/m³
- Crystal system: tetragonal
- Symmetry: P4/mmm, No. 123
- Calculated formation energy: 0.0160 eV/atom

=====

Material: Pm2PrY4
Method: DFT, PBE
State: relaxed

```
Pm2PrY4
1.0
8.480 -1.793 0.000
8.480 1.793 0.000
-4.411 0.000 7.710
Pm Pr Y
2 1 4
Direct
0.069 0.069 0.428
0.931 0.931 0.572
0.000 0.000 0.000
0.293 0.293 0.706
0.355 0.355 0.159
0.645 0.645 0.841
0.707 0.707 0.294
```

Values from the calculation:
- Excess energy over the best structure of this formula in the dataset: 0.000 eV per formula unit
- Calculated density: 5.57 Mg/m³
- Crystal system: monoclinic
- Symmetry: C2/m, No. 12
- Calculated formation energy: 0.0309 eV/atom

=====

Material: PmPr2Y5
Method: DFT, PBE
State: relaxed

```
PmPr2Y5
1.0
7.229 0.000 0.000
0.000 14.463 0.000
0.000 0.000 5.114
Pm Pr Y
2 4 10
Direct
0.000 0.000 0.000
0.500 0.500 0.000
0.249 0.375 0.500
0.251 0.875 0.500
0.749 0.125 0.500
0.751 0.625 0.500
0.000 0.500 0.000
0.002 0.750 0.000
0.248 0.125 0.500
0.252 0.625 0.500
0.498 0.250 0.000
0.500 0.000 0.000
0.502 0.750 0.000
0.748 0.375 0.500
0.752 0.875 0.500
0.998 0.250 0.000
```

Values from the calculation:
- Excess energy over the best structure of this formula in the dataset: 0.000 eV per formula unit
- Calculated density: 5.41 Mg/m³
- Crystal system: orthorhombic
- Symmetry: Pbam, No. 55
- Calculated formation energy: 0.0184 eV/atom